[1]
Here is crystalline YSb2WBr at its relaxed geometry from Alexandria via LeMat-Bulk. Energies are from GGA-PBE.

a = 5.1368 Å, b = 5.1368 Å, c = 5.8123 Å
α = 90.00°, β = 90.00°, γ = 90.00°
Last column: nearest neighbours and their distance in Å.
Space group P4/mmm (No. 123)
Symmetry-distinct sites (fractional):
Y 0.0000 0.0000 0.0000  2 W 2.91
Sb 0.0000 0.5000 0.5000  2 W 2.57
W 0.0000 0.0000 0.5000  4 Sb 2.57
Br 0.5000 0.5000 0.0000  4 Y 3.63, 8 Sb 3.88

## Properties
As for the total energy: -5.825 eV/atom. As for the energy relative to the elements, uncorrected: 42 meV per atom.

=====

[2]
Here is crystalline YSb2Br at its relaxed geometry from Alexandria via LeMat-Bulk. Energies are from GGA-PBE.

a = 5.8334 Å, b = 10.6796 Å, c = 3.5921 Å
α = 90.00°, β = 90.06°, γ = 90.00°
Last column: nearest neighbours and their distance in Å.
Space group C2/m (No. 12)
Symmetry-distinct sites (fractional):
Y 0.0000 0.0000 0.0000  2 Br 2.92
Sb 0.2500 0.2500 0.5000  2 Sb 2.92
Br 0.0000 0.5000 0.0000  2 Y 2.92

## Properties
As for the total energy: -4.530 eV/atom. The calculation puts the polymorph energy (0 for the lowest one) at 294 meV per atom. As for the energy relative to the elements, uncorrected: -434 meV per atom.

=====

[3]
Here is crystalline YSb2Br at its relaxed geometry from Alexandria via LeMat-Bulk. Energies are from GGA-PBE.

a = 4.0542 Å, b = 5.6881 Å, c = 13.3485 Å
α = 90.00°, β = 90.00°, γ = 90.00°
Last column: nearest neighbours and their distance in Å.
Space group Imm2 (No. 44)
Symmetry-distinct sites (fractional):
Y 0.0000 0.0000 0.0000  2 Br 2.85, 2 Sb 3.01
Sb 0.0000 0.0000 0.4186  2 Sb 2.89
Sb 0.0000 0.5000 0.0730  2 Sb 2.89, 2 Y 3.01
Br 0.0000 0.5000 0.6499  2 Y 2.85

## Properties
As for the total energy: -4.771 eV/atom. The calculation puts the polymorph energy (0 for the lowest one) at 53 meV per atom. As for the energy relative to the elements, uncorrected: -676 meV per atom.

=====

[4]
Here is crystalline Y4SbBr at its relaxed geometry from Alexandria via LeMat-Bulk. Energies are from GGA-PBE.

a = 9.0402 Å, b = 9.0402 Å, c = 9.0402 Å
α = 90.00°, β = 90.00°, γ = 90.00°
Last column: nearest neighbours and their distance in Å.
Space group F-43m (No. 216)
Symmetry-distinct sites (fractional):
Y 0.1238 0.1238 0.3762  6 Y 3.17-3.23
Sb 0.2500 0.2500 0.7500  12 Y 3.74, 4 Br 3.91
Br 0.0000 0.0000 0.0000  12 Y 3.75, 4 Sb 3.91

## Properties
As for the total energy: -5.234 eV/atom. As for the energy relative to the elements, uncorrected: 41 meV per atom.

=====

[5]
Here is crystalline YSb2Br at its relaxed geometry from Alexandria via LeMat-Bulk. Energies are from GGA-PBE.

a = 3.6014 Å, b = 3.6014 Å, c = 29.8709 Å
α = 90.00°, β = 90.00°, γ = 120.00°
Last column: nearest neighbours and their distance in Å.
Space group R-3m (No. 166, hexagonal axes)
Symmetry-distinct sites (fractional):
Y 0.0000 0.0000 0.0000  6 Sb 3.22, 6 Y 3.60
Sb 0.0000 0.0000 0.2508  3 Y 3.22, 3 Br 3.26, 6 Sb 3.60
Br 0.0000 0.0000 0.5000  6 Sb 3.26, 6 Br 3.60

## Properties
As for the total energy: -4.301 eV/atom. The calculation puts the polymorph energy (0 for the lowest one) at 523 meV per atom. As for the energy relative to the elements, uncorrected: -205 meV per atom.

=====

[6]
Here is crystalline YSb2Br at its relaxed geometry from Alexandria via LeMat-Bulk. Energies are from GGA-PBE.

a = 5.3042 Å, b = 5.3042 Å, c = 7.8245 Å
α = 90.00°, β = 90.00°, γ = 90.00°
Last column: nearest neighbours and their distance in Å.
Space group I-4m2 (No. 119)
Symmetry-distinct sites (fractional):
Y 0.0000 0.0000 0.0000  4 Br 3.30, 4 Sb 3.30
Sb 0.0000 0.0000 0.5000  4 Sb 3.30, 4 Br 3.30
Sb 0.0000 0.5000 0.2500  4 Sb 3.30, 4 Y 3.30
Br 0.0000 0.5000 0.7500  4 Sb 3.30, 4 Y 3.30

## Properties
As for the total energy: -4.485 eV/atom. The calculation puts the polymorph energy (0 for the lowest one) at 339 meV per atom. As for the energy relative to the elements, uncorrected: -389 meV per atom.

=====

[7]
Here is crystalline YSb2Br at its relaxed geometry from Alexandria via LeMat-Bulk. Energies are from GGA-PBE.

a = 3.8870 Å, b = 3.8870 Å, c = 29.6371 Å
α = 90.00°, β = 90.00°, γ = 120.00°
Last column: nearest neighbours and their distance in Å.
Space group R3m (No. 160, hexagonal axes)
Symmetry-distinct sites (fractional):
Y 0.0000 0.0000 0.0000  3 Br 2.89, 3 Sb 3.17
Sb 0.0000 0.0000 0.4761  3 Sb 3.00
Sb 0.0000 0.0000 0.7422  3 Sb 3.00, 3 Y 3.17
Br 0.0000 0.0000 0.2717  3 Y 2.89

## Properties
As for the total energy: -4.651 eV/atom. The calculation puts the polymorph energy (0 for the lowest one) at 173 meV per atom. As for the energy relative to the elements, uncorrected: -555 meV per atom.

=====

[8]
Here is crystalline Y2SbBr at its relaxed geometry from Alexandria via LeMat-Bulk. Energies are from GGA-PBE.

a = 3.6766 Å, b = 3.6766 Å, c = 33.4984 Å
α = 90.00°, β = 90.00°, γ = 120.00°
Last column: nearest neighbours and their distance in Å.
Space group R3m (No. 160, hexagonal axes)
Symmetry-distinct sites (fractional):
Y 0.0000 0.0000 0.0000  3 Br 2.88
Y 0.0000 0.0000 0.2473  3 Sb 3.24, 3 Y 3.58
Sb 0.0000 0.0000 0.5074  3 Y 3.24
Br 0.0000 0.0000 0.7249  3 Y 2.88

## Properties
As for the total energy: -5.346 eV/atom. The calculation puts the polymorph energy (0 for the lowest one) at 377 meV per atom. As for the energy relative to the elements, uncorrected: -665 meV per atom.